1.
An optimized crystal structure of BaH2W. Source: Alexandria, functional PBE.

Summary:
Its density of states at the Fermi level is 1.644 states/eV/atom. For the theoretical density, the calculation gives 8.7 Mg/m³. The energy above the most stable polymorph in this dataset comes out at 940 meV/atom. The magnetization is 0.000 μB per cell.

Geometry as extended XYZ:
```
4
Lattice="0.000 3.134 3.134 3.134 0.000 3.134 3.134 3.134 0.000" Properties=species:S:1:pos:R:3 pbc="T T T"
H 4.701 4.701 4.701
H 1.567 1.567 1.567
Ba 0.000 0.000 0.000
W 3.134 3.134 3.134
```

---

2.
An optimized crystal structure of MgAlGaOs. Source: Alexandria, functional PBE.

Summary:
Its density of states at the Fermi level is 0.557 states/eV/atom. The calculated formation energy comes out at -89 meV per atom. For the theoretical density, the calculation gives 8.6 Mg/m³. The magnetization is 0.000 μB per cell.

Geometry as extended XYZ:
```
4
Lattice="4.405 0.000 0.000 2.203 3.815 0.000 2.203 1.272 3.597" Properties=species:S:1:pos:R:3 pbc="T T T"
Ga 0.000 0.000 0.000
Os 6.608 3.815 2.698
Al 4.405 2.543 1.798
Mg 2.203 1.272 0.899
```

---

3.
An optimized crystal structure of Na2Al2Pb. Source: Alexandria, functional PBE.

Summary:
Its density of states at the Fermi level is 0.510 states/eV/atom. The calculated formation energy comes out at 316 meV per atom. For the theoretical density, the calculation gives 3.9 Mg/m³. The energy above the most stable polymorph in this dataset comes out at 170 meV/atom. The magnetization is 0.000 μB per cell.

Geometry as extended XYZ:
```
10
Lattice="9.097 0.000 0.000 0.000 9.097 0.000 0.000 0.000 3.133" Properties=species:S:1:pos:R:3 pbc="T T T"
Al 6.154 7.491 1.567
Al 1.606 6.154 1.567
Al 7.491 2.942 1.567
Al 2.942 1.606 1.567
Na 1.104 3.444 0.000
Na 7.992 5.653 0.000
Na 3.444 7.992 0.000
Na 5.653 1.104 0.000
Pb 4.548 4.548 0.000
Pb 0.000 0.000 0.000
```